1.
Material: TlGeBiN2
Method: DFT, GGA-PBE
State: optimized geometry

Cell lengths 4.406, 5.693, 4.406 Å; angles 90.00, 90.00, 90.00 degrees
Fractional positions:
N  0.500  0.000  0.000
N  0.000  0.000  0.500
Bi  0.000  0.000  0.000
Ge  0.000  0.500  0.000
Tl  0.500  0.500  0.500

Calculated values
* symmetry: P4/mmm
* VASP energy: -19.753 eV per cell
* crystal system: tetragonal
* raw formation energy: 1552 meV per atom


2.
Material: GeBi2WN
Method: DFT, GGA-PBE
State: optimized geometry

Cell lengths 5.406, 4.718, 5.406 Å; angles 90.00, 90.00, 90.00 degrees
Fractional positions:
Ge  0.000  0.000  0.000
Bi  0.000  0.000  0.500
W  0.000  0.500  0.000
N  0.500  0.500  0.500
Bi  0.500  0.000  0.000

Calculated values
* symmetry: P4/mmm
* VASP energy: -21.994 eV per cell
* crystal system: tetragonal
* raw formation energy: 2333 meV per atom


3.
Material: Na2GeBi
Method: DFT, GGA-PBE
State: optimized geometry

Cell lengths 7.364, 12.387, 6.568 Å; angles 126.53, 90.00, 90.00 degrees
Fractional positions:
Bi  0.408  0.061  0.381
Na  0.242  0.758  0.194
Na  0.297  0.375  0.827
Na  0.203  0.875  0.827
Na  0.758  0.242  0.806
Ge  0.394  0.572  0.665
Ge  0.894  0.928  0.335
Bi  0.092  0.561  0.381
Na  0.703  0.625  0.173
Bi  0.908  0.439  0.619
Na  0.797  0.125  0.173
Ge  0.106  0.072  0.665
Bi  0.592  0.939  0.619
Ge  0.606  0.428  0.335
Na  0.258  0.258  0.194
Na  0.742  0.742  0.806

Calculated values
* symmetry: P2_1/c
* VASP energy: -46.274 eV per cell
* crystal system: monoclinic
* energy of formation from the pure elements: -0.108 eV per atom


4.
Material: Na2GeBi
Method: DFT, GGA-PBE
State: optimized geometry

Cell lengths 5.235, 5.235, 5.235 Å; angles 60.00, 60.00, 60.00 degrees
Fractional positions:
Na  0.250  0.250  0.250
Ge  0.000  0.000  0.000
Na  0.750  0.750  0.750
Bi  0.500  0.500  0.500

Calculated values
* symmetry: Fm-3m
* VASP energy: -11.340 eV per cell
* crystal system: cubic
* energy of formation from the pure elements: -0.051 eV per atom


5.
Material: Na12GeBi7
Method: DFT, GGA-PBE
State: optimized geometry

Cell lengths 8.770, 8.770, 8.770 Å; angles 95.13, 95.13, 95.13 degrees
Fractional positions:
Na  0.844  0.586  0.554
Na  0.736  0.224  0.839
Na  0.586  0.554  0.844
Bi  0.975  0.631  0.893
Na  0.156  0.414  0.446
Bi  0.107  0.025  0.369
Bi  0.893  0.975  0.631
Na  0.554  0.844  0.586
Na  0.839  0.736  0.224
Na  0.224  0.839  0.736
Na  0.264  0.776  0.161
Ge  0.000  0.000  0.000
Bi  0.500  0.500  0.500
Bi  0.631  0.893  0.975
Na  0.446  0.156  0.414
Na  0.776  0.161  0.264
Na  0.414  0.446  0.156
Na  0.161  0.264  0.776
Bi  0.025  0.369  0.107
Bi  0.369  0.107  0.025

Calculated values
* symmetry: R-3
* VASP energy: -50.598 eV per cell
* crystal system: trigonal
* energy of formation from the pure elements: -0.149 eV per atom


6.
Material: Na3GeBi
Method: DFT, GGA-PBE
State: optimized geometry

Cell lengths 5.929, 5.929, 5.929 Å; angles 90.00, 90.00, 90.00 degrees
Last column: magnetic moment on the atom in μB.
Fractional positions:
Na  0.000  0.000  0.500  0.00
Na  0.000  0.500  0.000  0.00
Na  0.500  0.000  0.000  0.00
Bi  0.000  0.000  0.000  -0.04
Ge  0.500  0.500  0.500  0.68

Calculated values
* symmetry: Pm-3m
* VASP energy: -10.690 eV per cell
* crystal system: cubic
* energy of formation from the pure elements: 0.353 eV per atom


7.
Material: Na4GeBi2
Method: DFT, GGA-PBE
State: optimized geometry

Cell lengths 5.676, 5.676, 8.635 Å; angles 70.81, 70.81, 90.00 degrees
Fractional positions:
Na  0.000  0.500  0.000
Na  0.813  0.813  0.374
Na  0.187  0.187  0.626
Bi  0.398  0.398  0.203
Bi  0.602  0.602  0.797
Na  0.500  0.000  0.000
Ge  0.000  0.000  0.000

Calculated values
* symmetry: I4/mmm
* VASP energy: -16.645 eV per cell
* crystal system: tetragonal
* energy of formation from the pure elements: 0.144 eV per atom


8.
Material: Na2GeBi
Method: DFT, GGA-PBE
State: optimized geometry

Cell lengths 8.911, 8.911, 6.932 Å; angles 50.01, 50.01, 90.00 degrees
Fractional positions:
Ge  0.250  0.750  0.500
Bi  0.000  0.000  0.000
Bi  0.750  0.250  0.500
Na  0.159  0.625  0.250
Ge  0.500  0.500  0.000
Na  0.591  0.125  0.250
Na  0.875  0.841  0.750
Na  0.375  0.409  0.750

Calculated values
* symmetry: I-42d
* VASP energy: -21.515 eV per cell
* crystal system: tetragonal
* energy of formation from the pure elements: 0.095 eV per atom